1.
VASP calculation (PBE-GGA) on a geometry-optimized LaDyHo2 structure.

a = 3.6089 Å, b = 3.6089 Å, c = 11.7469 Å
α = 81.16°, β = 81.16°, γ = 60.00°
Fractional coordinates of all 4 atoms:
Ho 0.2481 0.2481 0.2558
Ho 0.0852 0.0852 0.7444
Dy 0.5005 0.5005 0.4986
La 0.6663 0.6663 0.0012

Output
formation enthalpy at 0 K	0.010	eV/atom
DOS at the Fermi energy	6.45	states/eV per cell
DFT total energy	-4.6610	eV per atom
crystal system	trigonal
total moment	0.0	μB per cell

***

2.
VASP calculation (PBE-GGA) on a geometry-optimized MgMnCr structure.

a = 4.2880 Å, b = 4.2880 Å, c = 4.2880 Å
α = 60.00°, β = 60.00°, γ = 60.00°
Last column: magnetic moment on the atom in μB.
Fractional coordinates of all 3 atoms:
Mn 0.7500 0.7500 0.7500  -3.10
Cr 0.0000 0.0000 0.0000  3.25
Mg 0.5000 0.5000 0.5000  -0.01

Output
formation enthalpy at 0 K	0.716	eV/atom
DOS at the Fermi energy	3.32	states/eV per cell
DFT total energy	-6.0801	eV per atom
crystal system	cubic
total moment	0.4	μB per cell

***

3.
VASP calculation (PBE-GGA) on a geometry-optimized Ac3Bi4Rh8 structure.

a = 9.7615 Å, b = 9.7615 Å, c = 9.7615 Å
α = 60.00°, β = 60.00°, γ = 60.00°
Fractional coordinates of all 30 atoms:
Bi 0.0000 0.0000 0.0000
Bi 0.0000 0.5000 0.0000
Bi 0.5000 0.0000 0.0000
Bi 0.5000 0.5000 0.0000
Bi 0.5000 0.5000 0.5000
Bi 0.5000 0.0000 0.5000
Bi 0.0000 0.0000 0.5000
Bi 0.0000 0.5000 0.5000
Rh 0.8726 0.8726 0.3821
Rh 0.1274 0.1274 0.6179
Rh 0.6749 0.6749 0.9752
Rh 0.1274 0.1274 0.1274
Rh 0.6179 0.1274 0.1274
Rh 0.3251 0.0248 0.3251
Rh 0.3251 0.3251 0.3251
Rh 0.8726 0.8726 0.8726
Rh 0.9752 0.6749 0.6749
Rh 0.6749 0.9752 0.6749
Rh 0.3251 0.3251 0.0248
Rh 0.1274 0.6179 0.1274
Rh 0.3821 0.8726 0.8726
Rh 0.8726 0.3821 0.8726
Rh 0.6749 0.6749 0.6749
Rh 0.0248 0.3251 0.3251
Ac 0.2665 0.7335 0.2665
Ac 0.2665 0.2665 0.7335
Ac 0.7335 0.7335 0.2665
Ac 0.7335 0.2665 0.7335
Ac 0.7335 0.2665 0.2665
Ac 0.2665 0.7335 0.7335

Output
formation enthalpy at 0 K	-0.363	eV/atom
DOS at the Fermi energy	30.61	states/eV per cell
DFT total energy	-6.1399	eV per atom
crystal system	cubic
total moment	0.0	μB per cell

***

4.
VASP calculation (PBE-GGA) on a geometry-optimized Mn2CoPt structure.

a = 4.4922 Å, b = 4.4922 Å, c = 2.6167 Å
α = 90.00°, β = 90.00°, γ = 110.03°
Last column: magnetic moment on the atom in μB.
Fractional coordinates of all 4 atoms:
Pt 0.5000 0.0000 0.5000  0.00
Mn 0.5000 0.5000 0.0000  1.92
Mn 0.0000 0.0000 0.0000  1.92
Co 0.0000 0.5000 0.5000  -0.41

Output
formation enthalpy at 0 K	0.006	eV/atom
DOS at the Fermi energy	4.55	states/eV per cell
DFT total energy	-7.8656	eV per atom
crystal system	orthorhombic
total moment	3.5	μB per cell

***

5.
VASP calculation (PBE-GGA) on a geometry-optimized DyYGa6 structure.

a = 4.5936 Å, b = 6.2633 Å, c = 6.2633 Å
α = 119.97°, β = 90.00°, γ = 90.00°
Fractional coordinates of all 8 atoms:
Ga 0.5000 0.8964 0.5433
Ga 0.5000 0.8969 0.1031
Ga 0.0000 0.6032 0.9562
Ga 0.0000 0.6027 0.3973
Ga 0.5000 0.4567 0.1036
Ga 0.0000 0.0438 0.3968
Y 0.0000 0.0835 0.9165
Dy 0.5000 0.4164 0.5836

Output
formation enthalpy at 0 K	-0.536	eV/atom
DOS at the Fermi energy	3.18	states/eV per cell
DFT total energy	-4.1895	eV per atom
crystal system	hexagonal
total moment	0.0	μB per cell

***

6.
VASP calculation (PBE-GGA) on a geometry-optimized Sr2Li structure.

a = 11.4190 Å, b = 11.4190 Å, c = 11.4190 Å
α = 60.00°, β = 60.00°, γ = 60.00°
Fractional coordinates of all 24 atoms:
Li 0.3727 0.7091 0.2091
Li 0.7091 0.7091 0.2091
Li 0.6273 0.2909 0.7909
Li 0.2909 0.2909 0.7909
Li 0.7091 0.7091 0.8727
Li 0.7091 0.3727 0.2091
Li 0.2909 0.6273 0.7909
Li 0.2909 0.2909 0.1273
Sr 0.0000 0.5000 0.0000
Sr 0.9367 0.9367 0.8133
Sr 0.0633 0.6867 0.5633
Sr 0.5000 0.5000 0.5000
Sr 0.3133 0.3133 0.4367
Sr 0.0633 0.6867 0.1867
Sr 0.6867 0.0633 0.5633
Sr 0.6867 0.0633 0.1867
Sr 0.6867 0.6867 0.5633
Sr 0.9367 0.3133 0.8133
Sr 0.9367 0.3133 0.4367
Sr 0.3133 0.9367 0.4367
Sr 0.5000 0.0000 0.0000
Sr 0.0633 0.0633 0.1867
Sr 0.5000 0.5000 0.0000
Sr 0.3133 0.9367 0.8133

Output
formation enthalpy at 0 K	0.024	eV/atom
DOS at the Fermi energy	20.25	states/eV per cell
DFT total energy	-1.7354	eV per atom
crystal system	cubic
total moment	0.5	μB per cell

***

7.
VASP calculation (PBE-GGA) on a geometry-optimized TePt2Pb structure.

a = 3.6899 Å, b = 3.6840 Å, c = 6.6831 Å
α = 90.00°, β = 90.00°, γ = 90.00°
Fractional coordinates of all 4 atoms:
Pt 0.5000 0.5000 0.2633
Pt 0.0000 0.0000 0.0144
Pb 0.5000 0.5000 0.8199
Te 0.0000 0.0000 0.4024

Output
DOS at the Fermi energy	2.35	states/eV per cell
DFT total energy	-4.8304	eV per atom
crystal system	tetragonal
total moment	0.0	μB per cell

***

8.
VASP calculation (PBE-GGA) on a geometry-optimized PmSiO3 structure.

a = 4.9351 Å, b = 5.9325 Å, c = 5.9324 Å
α = 84.81°, β = 78.01°, γ = 78.01°
Fractional coordinates of all 10 atoms:
Pm 0.3213 0.1657 0.6046
Pm 0.1634 0.7387 0.1776
O 0.4978 0.8290 0.8021
O 0.9869 0.0754 0.9801
O 0.5826 0.3702 0.8091
O 0.9869 0.5411 0.5143
O 0.4978 0.3632 0.2679
O 0.9020 0.5342 0.9731
Si 0.7423 0.6071 0.7362
Si 0.7423 0.2973 0.0460

Output
DOS at the Fermi energy	1.48	states/eV per cell
DFT total energy	-7.6511	eV per atom
crystal system	monoclinic
total moment	0.0	μB per cell

***

9.
VASP calculation (PBE-GGA) on a geometry-optimized LiInF2 structure.

a = 5.4376 Å, b = 5.4376 Å, c = 5.8666 Å
α = 62.39°, β = 62.39°, γ = 90.00°
Fractional coordinates of all 8 atoms:
In 0.7500 0.2500 0.5000
In 0.0000 0.0000 0.0000
F 0.2347 0.6250 0.2500
F 0.3750 0.4847 0.7500
F 0.8750 0.7653 0.7500
F 0.5153 0.1250 0.2500
Li 0.2500 0.7500 0.5000
Li 0.5000 0.5000 0.0000

Output
DOS at the Fermi energy	0.00	states/eV per cell
DFT total energy	-4.3144	eV per atom
crystal system	tetragonal
total moment	0.0	μB per cell

***

10.
VASP calculation (PBE-GGA) on a geometry-optimized AlPdPt3 structure.

a = 4.9574 Å, b = 4.9574 Å, c = 9.2035 Å
α = 105.62°, β = 105.62°, γ = 90.00°
Fractional coordinates of all 10 atoms:
Pt 0.3583 0.3583 0.7165
Pt 0.1255 0.8765 0.2511
Pt 0.6417 0.6417 0.2835
Pt 0.6254 0.8745 0.7489
Pt 0.1255 0.3746 0.2511
Pt 0.1235 0.8745 0.7489
Pd 0.9095 0.4095 0.8190
Pd 0.5905 0.0905 0.1810
Al 0.2500 0.7500 0.5000
Al 0.0000 0.0000 0.0000

Output
formation enthalpy at 0 K	0.074	eV/atom
DOS at the Fermi energy	7.10	states/eV per cell
DFT total energy	-5.3377	eV per atom
crystal system	tetragonal
total moment	0.0	μB per cell

***

11.
VASP calculation (PBE-GGA) on a geometry-optimized Sr4AlGa structure.

a = 3.9991 Å, b = 3.9991 Å, c = 14.2492 Å
α = 90.00°, β = 90.00°, γ = 90.00°
Fractional coordinates of all 6 atoms:
Ga 0.5000 0.5000 0.5000
Sr 0.5000 0.5000 0.8668
Sr 0.5000 0.5000 0.1332
Sr 0.0000 0.0000 0.3711
Sr 0.0000 0.0000 0.6289
Al 0.0000 0.0000 0.0000

Output
formation enthalpy at 0 K	-0.184	eV/atom
DOS at the Fermi energy	3.08	states/eV per cell
DFT total energy	-2.4331	eV per atom
crystal system	tetragonal
total moment	0.0	μB per cell

***

12.
VASP calculation (PBE-GGA) on a geometry-optimized SrNdEu2 structure.

a = 6.2067 Å, b = 6.2067 Å, c = 6.2067 Å
α = 60.00°, β = 60.00°, γ = 60.00°
Last column: magnetic moment on the atom in μB.
Fractional coordinates of all 4 atoms:
Sr 0.5000 0.5000 0.5000  -0.01
Eu 0.7500 0.7500 0.7500  -6.87
Eu 0.2500 0.2500 0.2500  -6.87
Nd 0.0000 0.0000 0.0000  -0.04

Output
formation enthalpy at 0 K	0.123	eV/atom
DOS at the Fermi energy	3.19	states/eV per cell
DFT total energy	-6.6268	eV per atom
crystal system	cubic
total moment	14.3	μB per cell